{
  "formula": "Li2TmTc2N4",
  "functional": "PBE-GGA",
  "state": "relaxed",
  "lattice": [[3.256, 0.000, 0.000], [-1.628, 6.453, -2.344], [0.000, -4.020, 6.947]],
  "species": ["Li", "Li", "N", "N", "N", "N", "Tm", "Tc", "Tc"],
  "fractional_positions": [[0.167, 0.334, 0.555], [0.833, 0.666, 0.445], [0.442, 0.883, 0.726], [0.558, 0.117, 0.274], [0.224, 0.447, 0.135], [0.776, 0.553, 0.865], [0.000, 0.000, 0.000], [0.642, 0.283, 0.901], [0.358, 0.717, 0.099]],
  "raw_formation_energy_ev_per_atom": -0.51,
  "space_group": "C2/m (12)",
  "n_ef_per_ev_atom": 0.4481,
  "total_magnetization_mub_per_fu": 0.00,
  "energy_ev_per_atom": -7.43,
  "volume_a3_per_atom": 12.8
}